Compound: ZrUIr4
Source: the Alexandria database
Functional: PBE-GGA
Structure: relaxed

abc: 7.4912 7.4912 7.4912
angles: 90.00 90.00 90.00
Last column: nearest neighbours and their distance in Å.
Space group F-43m (No. 216)
Asymmetric unit:
Zr 0.0000 0.0000 0.0000 [4 per cell]  12 Ir 3.11, 4 U 3.24
U 0.2500 0.2500 0.7500 [4 per cell]  12 Ir 3.11, 4 Zr 3.24
Ir 0.1253 0.1253 0.3747 [16 per cell]  6 Ir 2.64-2.65

Properties
Energy relative to the elements, eV per atom: -0.59

---

Compound: NdHo2ErAu4
Source: the Alexandria database
Functional: PBE-GGA
Structure: relaxed

abc: 5.0892 5.0892 25.3451
angles: 90.00 90.00 120.00
Last column: nearest neighbours and their distance in Å.
Space group R-3m (No. 166, hexagonal axes)
Asymmetric unit:
Nd 0.0000 0.0000 0.0000 [3 per cell]  8 Au 3.18-3.25
Ho 0.0000 0.0000 0.2486 [6 per cell]  8 Au 3.05-3.36
Er 0.0000 0.0000 0.5000 [3 per cell]  8 Au 3.01-3.10
Au 0.0000 0.0000 0.1282 [6 per cell]  4 Ho 3.05-3.14, 3 Er 3.10, 1 Nd 3.25
Au 0.0000 0.0000 0.3811 [6 per cell]  1 Er 3.01, 4 Ho 3.08-3.36, 3 Nd 3.18

Properties
Energy relative to the elements, eV per atom: -0.84

---

Compound: AcFeI2
Source: the Alexandria database
Functional: PBE-GGA
Structure: relaxed

abc: 4.0910 4.0910 30.0534
angles: 90.00 90.00 120.00
Last column: nearest neighbours and their distance in Å.
Space group R-3m (No. 166, hexagonal axes)
Asymmetric unit:
Ac 0.0000 0.0000 0.0000 [3 per cell]  6 I 3.41
Fe 0.0000 0.0000 0.5000 [3 per cell]  2 I 2.55
I 0.0000 0.0000 0.4153 [6 per cell]  1 Fe 2.55

Properties
Raw formation energy, eV per atom: -0.06

---

Compound: Ga2NiAu
Source: the Alexandria database
Functional: PBE-GGA
Structure: relaxed

abc: 4.0642 4.0642 3.6493
angles: 90.00 90.00 90.00
Last column: nearest neighbours and their distance in Å.
Space group P4/mmm (No. 123)
Asymmetric unit:
Ga 0.0000 0.5000 0.0000 [2 per cell]  4 Ni 2.73, 4 Au 2.73, 4 Ga 2.87
Ni 0.0000 0.0000 0.5000 [1 per cell]  8 Ga 2.73, 4 Au 2.87
Au 0.5000 0.5000 0.5000 [1 per cell]  8 Ga 2.73, 4 Ni 2.87

Properties
Energy relative to the elements, eV per atom: -0.11

---

Compound: YTmZr2As4
Source: the Alexandria database
Functional: PBE-GGA
Structure: relaxed

abc: 6.8529 3.9522 6.9375
angles: 90.00 109.28 90.00
Last column: nearest neighbours and their distance in Å.
Space group P2/m (No. 10)
Asymmetric unit:
Y 0.0000 0.0000 0.0000 [1 per cell]  6 As 2.86
Tm 0.5000 0.5000 0.0000 [1 per cell]  6 As 2.84-2.85
Zr 0.0000 0.5000 0.5000 [1 per cell]  6 As 2.77-2.78
Zr 0.5000 0.0000 0.5000 [1 per cell]  6 As 2.76
As 0.2484 0.0000 0.7397 [2 per cell]  3 Zr 2.76-2.77, 2 Tm 2.84, 1 Y 2.86
As 0.2559 0.5000 0.2618 [2 per cell]  3 Zr 2.76-2.78, 1 Tm 2.85, 2 Y 2.86

Properties
Energy relative to the elements, eV per atom: -1.31

---

Compound: AcGdTh
Source: the Alexandria database
Functional: PBE-GGA
Structure: relaxed

abc: 3.7137 3.7137 15.7497
angles: 90.00 90.00 90.00
Last column: nearest neighbours and their distance in Å.
Space group I4mm (No. 107)
Asymmetric unit:
Ac 0.0000 0.0000 0.0000 [2 per cell]  4 Th 3.70, 4 Ac 3.71, 4 Gd 3.93
Gd 0.0000 0.0000 0.3143 [2 per cell]  4 Th 3.52, 4 Gd 3.71, 4 Ac 3.93
Th 0.0000 0.0000 0.6654 [2 per cell]  4 Gd 3.52, 4 Ac 3.70, 4 Th 3.71

Properties
Energy relative to the elements, eV per atom: 0.08
ΔE to the lowest computed polymorph, eV/atom: 0.000

---

Compound: CaRuRh3
Source: the Alexandria database
Functional: PBE-GGA
Structure: relaxed

abc: 4.7279 4.7279 4.7279
angles: 90.00 90.00 90.00
Last column: nearest neighbours and their distance in Å.
Space group Pm-3m (No. 221)
Asymmetric unit:
Ca 0.0000 0.0000 0.0000 [1 per cell]  12 Rh 3.34
Ru 0.5000 0.5000 0.5000 [1 per cell]  6 Rh 2.36
Rh 0.0000 0.5000 0.5000 [3 per cell]  2 Ru 2.36

Properties
Energy relative to the elements, eV per atom: 0.59
ΔE to the lowest computed polymorph, eV/atom: 0.000

---

Compound: Tm5Fe2Te2
Source: the Alexandria database
Functional: PBE-GGA
Structure: relaxed

abc: 15.6523 7.4868 7.4565
angles: 90.00 90.00 90.00
Last column: nearest neighbours and their distance in Å.
Space group Cmce (No. 64)
Asymmetric unit:
Tm 0.0000 0.0000 0.0000 [4 per cell]  4 Fe 3.04-3.06, 2 Te 3.32, 8 Tm 3.32
Tm 0.1174 0.1713 0.3294 [16 per cell]  3 Fe 2.80-2.99
Fe 0.0000 0.1072 0.6045 [8 per cell]  1 Fe 2.24
Te 0.2124 0.0000 0.0000 [8 per cell]  7 Tm 3.14-3.32

Properties
Raw formation energy, eV per atom: -0.60

---

Number 1: DOS at the Fermi energy 31.2 states/eV/cell. Number 2: DOS at the Fermi energy 12.1 states/eV/cell. Number 3: DOS at the Fermi energy 17.0 states/eV/cell. Number 4: DOS at the Fermi energy 1.5 states/eV/cell. Number 5: DOS at the Fermi energy 4.3 states/eV/cell. Number 6: DOS at the Fermi energy 9.3 states/eV/cell. Number 7: DOS at the Fermi energy 5.2 states/eV/cell. Number 8: DOS at the Fermi energy 18.5 states/eV/cell.